K2MgSb at its PBEsol-relaxed geometry. Source: Alexandria via LeMat-Bulk, functional meta-GGA SCAN.

Cell: 4.762 4.762 12.667 Å, 100.83 100.83 90.00°
Sites, in units of the cell vectors:
Mg (0.500, 0.500, 0.000)
Sb (0.250, 0.750, 0.500)
K (0.364, 0.875, 0.250)
K (0.886, 0.375, 0.250)
Sb (0.000, 0.000, 0.000)
Mg (0.750, 0.250, 0.500)
K (0.625, 0.636, 0.750)
K (0.125, 0.114, 0.750)

Values from the calculation:
VASP energy	-14.64	eV per atom
magnetization	0.00	μB/cell
E above lowest polymorph	0.96	eV/f.u.
energy relative to the elements, uncorrected	0.08	eV per atom
symmetry	I-42d, No. 122

K2MgSb at its PBEsol-relaxed geometry. Source: Alexandria via LeMat-Bulk, functional meta-GGA SCAN.

Cell: 5.069 5.071 6.234 Å, 114.00 113.99 90.00°
Sites, in units of the cell vectors:
K (0.750, 0.750, 0.500)
Mg (0.000, 0.500, 0.000)
Sb (0.500, 0.000, 0.000)
K (0.250, 0.250, 0.500)

Values from the calculation:
VASP energy	-14.86	eV per atom
magnetization	0.04	μB/cell
E above lowest polymorph	0.10	eV/f.u.
energy relative to the elements, uncorrected	-0.13	eV per atom
symmetry	I4/mmm, No. 139